No. 1
Compound: CsBaOs3
Source: Alexandria via LeMat-Bulk
Functional: PBEsol
Structure: optimized geometry

Properties
* energy: -4.736 eV per atom
* formation energy: 1550 kJ/mol of formula units

Geometry as extended XYZ:
```
5
Lattice="5.016 0.000 0.000 0.000 5.016 0.000 0.000 0.000 5.016" Properties=species:S:1:pos:R:3 pbc="T T T"
Cs 0.000 0.000 0.000
Ba 2.508 2.508 2.508
Os 0.000 0.000 2.508
Os 0.000 2.508 0.000
Os 2.508 0.000 0.000
```

=====

No. 2
Compound: CsBaPS2
Source: Alexandria via LeMat-Bulk
Functional: PBEsol
Structure: optimized geometry

Properties
* formation energy without anion corrections: -0.02 eV/atom
* energy: -3.555 eV per atom

Geometry as extended XYZ:
```
5
Lattice="5.871 0.000 0.000 0.000 5.871 0.000 0.000 0.000 6.171" Properties=species:S:1:pos:R:3 pbc="T T T"
Cs 0.000 0.000 0.000
Ba 2.935 2.935 3.086
P 2.935 2.935 0.000
S 0.000 2.935 3.086
S 2.935 0.000 3.086
```